{
  "formula": "Pr2Y3Tm7",
  "functional": "PBE",
  "state": "optimized geometry",
  "lattice": [[3.617, 0.000, 0.000], [0.000, 5.654, 0.000], [0.000, -2.827, 18.777]],
  "species": ["Pr", "Pr", "Y", "Y", "Y", "Tm", "Tm", "Tm", "Tm", "Tm", "Tm", "Tm"],
  "frac_coords": [[0.000, 0.854, 0.707], [0.000, 0.146, 0.293], [0.500, 0.500, 0.000], [0.500, 0.686, 0.373], [0.500, 0.314, 0.627], [0.000, 0.412, 0.824], [0.000, 0.770, 0.539], [0.000, 0.000, 0.000], [0.000, 0.588, 0.176], [0.500, 0.070, 0.140], [0.500, 0.930, 0.860], [0.000, 0.230, 0.461]],
  "formation_enthalpy_0k_ev_per_atom": 0.1112,
  "dos_ef_per_ev_atom": 1.4712,
  "magmom_total_mub_per_cell": 0.00
}